No. 1
The following is a PBE calculation of an optimized crystal structure of CsGaPb4, from Alexandria.

Unit cell a=8.8870 b=8.8870 c=6.3381 alpha=94.08 beta=94.08 gamma=62.63
Fractional coordinates of all 12 atoms:
Cs (0.1860, 0.8140, 0.7500)
Cs (0.8140, 0.1860, 0.2500)
Ga (0.0000, 0.5000, 0.5000)
Ga (0.5000, 0.0000, 0.0000)
Pb (0.1189, 0.2955, 0.8954)
Pb (0.2955, 0.1189, 0.3954)
Pb (0.3053, 0.4620, 0.2393)
Pb (0.4620, 0.3053, 0.7393)
Pb (0.5380, 0.6947, 0.2607)
Pb (0.6947, 0.5380, 0.7607)
Pb (0.7045, 0.8811, 0.6046)
Pb (0.8811, 0.7045, 0.1046)

Output
The calculated total energy comes out at -37.7 eV/cell. The value obtained for the size of the total moment is 0.0 μB/f.u. The formation energy comes out at -0.019 eV/atom. As for the space group: C2/c. Its offset from the most stable computed form is 0.0000 eV per atom.



No. 2
The following is a PBE calculation of an optimized crystal structure of Cs3Ga2Pb4, from Alexandria.

Unit cell a=10.5777 b=10.5777 c=7.6607 alpha=107.17 beta=107.17 gamma=66.34
Fractional coordinates of all 18 atoms:
Cs (0.0330, 0.9670, 0.7500)
Cs (0.2819, 0.5089, 0.8929)
Cs (0.4911, 0.7181, 0.6071)
Cs (0.5089, 0.2819, 0.3929)
Cs (0.7181, 0.4911, 0.1071)
Cs (0.9670, 0.0330, 0.2500)
Ga (0.0809, 0.3598, 0.4362)
Ga (0.3598, 0.0809, 0.9362)
Ga (0.6402, 0.9191, 0.0638)
Ga (0.9191, 0.6402, 0.5638)
Pb (0.1083, 0.3106, 0.0523)
Pb (0.1200, 0.6005, 0.3429)
Pb (0.3106, 0.1083, 0.5523)
Pb (0.3995, 0.8800, 0.1571)
Pb (0.6005, 0.1200, 0.8429)
Pb (0.6894, 0.8917, 0.4477)
Pb (0.8800, 0.3995, 0.6571)
Pb (0.8917, 0.6894, 0.9477)

Output
The calculated total energy comes out at -49.2 eV/cell. The value obtained for the size of the total moment is 0.0 μB/f.u. The formation energy comes out at -0.131 eV/atom. As for the space group: C2/c.



No. 3
The following is a PBE calculation of an optimized crystal structure of CsGaPb2, from Alexandria.

Unit cell a=8.1979 b=8.1979 c=8.1979 alpha=34.18 beta=34.18 gamma=34.18
Fractional coordinates of all 4 atoms:
Cs (0.0000, 0.0000, 0.0000)
Ga (0.5000, 0.5000, 0.5000)
Pb (0.2134, 0.2134, 0.2134)
Pb (0.7866, 0.7866, 0.7866)

Output
The calculated total energy comes out at -11.5 eV/cell. The value obtained for the size of the total moment is 0.0 μB/f.u. The formation energy comes out at -0.038 eV/atom. As for the space group: R-3m.



No. 4
The following is a PBE calculation of an optimized crystal structure of Cs2Ga2Pb, from Alexandria.

Unit cell a=7.6746 b=7.6746 c=6.4105 alpha=90.00 beta=90.00 gamma=90.00
Fractional coordinates of all 10 atoms:
Cs (0.1876, 0.3124, 0.0000)
Cs (0.3124, 0.8124, 0.0000)
Cs (0.6876, 0.1876, 0.0000)
Cs (0.8124, 0.6876, 0.0000)
Ga (0.1199, 0.6199, 0.5000)
Ga (0.3801, 0.1199, 0.5000)
Ga (0.6199, 0.8801, 0.5000)
Ga (0.8801, 0.3801, 0.5000)
Pb (0.0000, 0.0000, 0.5000)
Pb (0.5000, 0.5000, 0.5000)

Output
The calculated total energy comes out at -22.7 eV/cell. The value obtained for the size of the total moment is 0.0 μB/f.u. The formation energy comes out at 0.026 eV/atom. As for the space group: P4/mbm. Its offset from the most stable computed form is 0.0569 eV per atom.



Q: Which value of calculated total energy does entry 4 give?
A: -22.7 eV/cell